Tb2PmDyN4 PBE relaxed; D(E_F) = 0.236 states/eV/f.u.; uncorrected energy = -64.76 eV per formula unit; energy relative to the elements, uncorrected = -1.61 eV per atom; space group = P2/m, No. 10
1.0
3.523 0.000 0.000
0.000 6.098 0.109
0.000 -2.132 5.714
N Tb Dy Pm
4 2 1 1
direct
0.000 0.747 0.251 N
0.000 0.253 0.749 N
0.500 0.745 0.746 N
0.500 0.255 0.254 N
0.000 0.500 0.500 Tb
0.500 0.000 0.500 Tb
0.500 0.500 0.000 Dy
0.000 0.000 0.000 Pm

Ca3PrPd PBE relaxed; D(E_F) = 4.528 states/eV/f.u.; uncorrected energy = -16.77 eV per formula unit; space group = Pm-3m, No. 221; formation energy = -159.0 meV per atom
1.0
5.629 0.000 0.000
0.000 5.629 0.000
0.000 0.000 5.629
Pd Ca Pr
1 3 1
direct
0.000 0.000 0.000 Pd
0.000 0.500 0.000 Ca
0.500 0.000 0.000 Ca
0.000 0.000 0.500 Ca
0.500 0.500 0.500 Pr

AcNdHgAu PBE relaxed; relative energy among the computed polymorphs = 0.000 eV per atom; D(E_F) = 2.862 states/eV/f.u.; uncorrected energy = -14.92 eV per formula unit; space group = P4mm, No. 99; formation energy = -615.6 meV per atom
1.0
3.866 0.000 0.000
0.000 3.866 0.000
0.000 0.000 7.803
Ac Au Hg Nd
1 1 1 1
direct
0.500 0.500 0.118 Ac
0.000 0.000 0.378 Au
0.000 0.000 0.838 Hg
0.500 0.500 0.593 Nd